[1]
First-principles (GGA-PBEsol) data for an optimized crystal structure of SrTcIr2, as listed in Alexandria.

a b c (Å): 2.808 3.503 7.358
angles (deg): 90.00 90.00 90.00
Atoms (fractional coordinates):
Sr1 0.000 0.000 0.000
Tc1 0.000 0.000 0.500
Ir1 0.500 0.500 0.314
Ir2 0.500 0.500 0.686

Computed properties:
E_form = 0.7 eV per formula unit
total magnetic moment = 0.00 μB per cell
SG = Pmmm, No. 47
energy above the most stable polymorph in this dataset = 0 meV/atom

***

[2]
First-principles (GGA-PBEsol) data for an optimized crystal structure of SrTcIr2, as listed in Alexandria.

a b c (Å): 6.525 6.525 6.525
angles (deg): 90.00 90.00 90.00
Atoms (fractional coordinates):
Sr1 0.000 0.000 0.000
Sr2 0.000 0.500 0.500
Sr3 0.500 0.000 0.500
Sr4 0.500 0.500 0.000
Tc1 0.000 0.000 0.500
Tc2 0.000 0.500 0.000
Tc3 0.500 0.000 0.000
Tc4 0.500 0.500 0.500
Ir1 0.250 0.250 0.250
Ir2 0.250 0.250 0.750
Ir3 0.250 0.750 0.250
Ir4 0.250 0.750 0.750
Ir5 0.750 0.250 0.250
Ir6 0.750 0.250 0.750
Ir7 0.750 0.750 0.250
Ir8 0.750 0.750 0.750

Computed properties:
E_form = 3.1 eV per formula unit
total magnetic moment = 9.98 μB per cell
SG = Fm-3m, No. 225
energy above the most stable polymorph in this dataset = 593 meV/atom

***

[3]
First-principles (GGA-PBEsol) data for an optimized crystal structure of SrTcIr2, as listed in Alexandria.

a b c (Å): 8.587 2.773 6.478
angles (deg): 90.00 97.41 90.00
Atoms (fractional coordinates):
Sr1 0.000 0.000 0.000
Sr2 0.500 0.500 0.000
Tc1 0.000 0.500 0.500
Tc2 0.500 0.000 0.500
Ir1 0.242 0.000 0.667
Ir2 0.258 0.500 0.333
Ir3 0.742 0.500 0.667
Ir4 0.758 0.000 0.333

Computed properties:
E_form = 1.6 eV per formula unit
total magnetic moment = 0.00 μB per cell
SG = C2/m, No. 12
energy above the most stable polymorph in this dataset = 214 meV/atom